An optimized crystal structure of TlReP2Cl. Source: Alexandria, functional PBE.

Output
* formation energy from raw total energies: 1.864 eV per atom
* calculated volume: 27.08 Å³/atom
* E_tot: -3.6324 eV per atom
* distance to the lowest polymorph of the same formula: 1.738 eV/atom
* M_tot: 3.44 μB per cell

a = 5.124 Å, b = 5.124 Å, c = 5.158 Å
α = 90.00°, β = 90.00°, γ = 90.00°
Space group P4/mmm (No. 123)
Symmetry-distinct sites (fractional):
Tl1 0.000 0.000 0.000 x1
Re1 0.500 0.500 0.500 x1
P1 0.000 0.500 0.000 x2
Cl1 0.000 0.000 0.500 x1

***

An optimized crystal structure of NaSr4Li5. Source: Alexandria, functional PBE.

Output
* calculated volume: 36.63 Å³/atom
* ΔE_f: 58 kJ/mol of formula units
* E_tot: -1.7013 eV per atom
* M_tot: 0.00 μB per cell

a = 11.205 Å, b = 11.205 Å, c = 5.836 Å
α = 90.00°, β = 90.00°, γ = 90.00°
Space group I4mm (No. 107)
Symmetry-distinct sites (fractional):
Na1 0.000 0.000 0.000 x2
Sr1 0.000 0.300 0.742 x8
Li1 0.000 0.000 0.486 x2
Li2 0.177 0.177 0.257 x8